# 1
The following is a PBE calculation of Th6InIr2Se3 after structural relaxation, from Alexandria via LeMat-Bulk.

Values from the calculation:
Formation energy (no corrections) (meV per atom): -1103.7
Symmetry: C2/m

```
Th6InIr2Se3
1.0
-0.313 3.670 1.917
-7.303 1.851 -4.737
-3.054 -6.151 6.782
Th In Ir Se
6 1 2 3
Direct
0.327 0.888 0.655 Th
0.674 0.564 0.348 Th
0.673 0.112 0.345 Th
0.011 0.269 0.021 Th
0.989 0.731 0.979 Th
0.326 0.436 0.652 Th
0.500 0.000 0.000 In
0.831 0.665 0.661 Ir
0.169 0.335 0.339 Ir
0.500 0.500 0.000 Se
0.841 0.167 0.682 Se
0.159 0.833 0.318 Se
```

***

# 2
The following is a PBE calculation of LiHg2Rh2 after structural relaxation, from Alexandria via LeMat-Bulk.

Values from the calculation:
DFT formation energy (meV/atom): 59
Symmetry: P4/mbm

```
LiHg2Rh2
1.0
-4.140 4.826 4.063
-5.904 -1.252 -4.529
-0.963 -2.453 1.933
Rh Hg Li
4 4 2
Direct
0.376 0.876 0.000 Rh
0.876 0.624 0.000 Rh
0.624 0.124 0.000 Rh
0.124 0.376 0.000 Rh
0.174 0.674 0.500 Hg
0.674 0.826 0.500 Hg
0.826 0.326 0.500 Hg
0.326 0.174 0.500 Hg
0.000 0.000 0.000 Li
0.500 0.500 0.000 Li
```

***

# 3
The following is a PBE calculation of AcHBr4 after structural relaxation, from Alexandria via LeMat-Bulk.

Values from the calculation:
Symmetry: Cc

```
AcHBr4
1.0
-7.478 -3.303 2.554
6.024 -5.568 2.450
0.731 -1.333 8.433
Ac H Br
2 2 8
Direct
0.000 0.769 0.231 Ac
0.500 0.019 0.481 Ac
0.000 0.078 0.921 H
0.500 0.329 0.171 H
0.704 0.775 0.521 Br
0.667 0.301 0.032 Br
0.204 0.728 0.475 Br
0.167 0.218 0.949 Br
0.796 0.321 0.475 Br
0.833 0.885 0.949 Br
0.333 0.301 0.366 Br
0.296 0.775 0.929 Br
```

***

# 4
The following is a PBE calculation of Pr4Te3Se after structural relaxation, from Alexandria via LeMat-Bulk.

Values from the calculation:
Formation energy (no corrections) (meV per atom): -1540.4
Symmetry: Cmmm

```
Pr4Te3Se
1.0
4.431 0.000 0.000
0.000 7.364 -2.497
0.000 -0.048 7.776
Pr Te Se
4 3 1
Direct
0.000 0.226 0.226 Pr
0.500 0.765 0.235 Pr
0.000 0.774 0.774 Pr
0.500 0.235 0.765 Pr
0.000 0.000 0.500 Te
0.500 0.500 0.500 Te
0.000 0.500 0.000 Te
0.500 0.000 0.000 Se
```

***

no.,Fermi-level density of states (states/eV/atom),E_tot (eV per atom),magnetic moment (μB/atom)
1,0.6791,-7.39,0.0000
2,0.9381,-3.38,0.0000
3,0.0000,-3.71,0.0000
4,0.5051,-5.54,0.0000